No. 1
Density functional theory data (PBE) for a relaxed Ce5Tl6Ag crystal.

Its space group is Immm, No. 71. The calculation puts the total energy at -4.064 eV per atom. For the density of states at the Fermi level, the calculation gives 32.99 states/eV/f.u. For the size of the total moment, the calculation gives 5.78 μB/cell. The calculation puts the formation energy at -0.171 eV per atom.

Unit cell a=4.879 b=9.209 c=9.058 alpha=120.56 beta=105.59 gamma=89.99
Sites, in units of the cell vectors:
Tl 0.834 0.589 0.667
Tl 0.834 0.078 0.667
Tl 0.500 0.764 0.000
Tl 0.500 0.236 0.000
Tl 0.166 0.922 0.333
Tl 0.166 0.411 0.333
Ce 0.666 0.165 0.331
Ce 0.341 0.341 0.683
Ce 0.000 0.500 0.000
Ce 0.659 0.659 0.317
Ce 0.334 0.835 0.669
Ag 0.000 0.000 0.000

No. 2
Density functional theory data (PBE) for a relaxed Ce2YTl2Ag2 crystal.

Its space group is R-3m, No. 166. The calculation puts the total energy at -4.252 eV per atom. For the density of states at the Fermi level, the calculation gives 10.71 states/eV/f.u. For the size of the total moment, the calculation gives 1.31 μB/cell. The calculation puts the formation energy at -0.143 eV per atom.

Unit cell a=4.792 b=4.792 c=9.242 alpha=74.98 beta=74.98 gamma=60.00
Sites, in units of the cell vectors:
Ce 0.143 0.143 0.571
Ce 0.857 0.857 0.429
Y 0.000 0.000 0.000
Tl 0.729 0.729 0.812
Tl 0.271 0.271 0.188
Ag 0.574 0.574 0.278
Ag 0.426 0.426 0.722

No. 3
Density functional theory data (PBE) for a relaxed CeZrTlAg crystal.

Its space group is F-43m, No. 216. The calculation puts the total energy at -4.938 eV per atom. For the density of states at the Fermi level, the calculation gives 7.44 states/eV/f.u. For the size of the total moment, the calculation gives 2.35 μB/cell. The calculation puts the formation energy at -0.013 eV per atom.

Unit cell a=5.206 b=5.206 c=5.206 alpha=60.00 beta=60.00 gamma=60.00
Sites, in units of the cell vectors:
Zr 0.500 0.500 0.500
Tl 0.250 0.250 0.250
Ag 0.750 0.750 0.750
Ce 0.000 0.000 0.000

No. 4
Density functional theory data (PBE) for a relaxed CeTm4Ag5 crystal.

Its space group is P4/mmm, No. 123. The calculation puts the total energy at -4.093 eV per atom. For the density of states at the Fermi level, the calculation gives 10.42 states/eV/f.u. For the size of the total moment, the calculation gives 1.19 μB/cell. The calculation puts the formation energy at -0.285 eV per atom.

Unit cell a=3.562 b=3.562 c=18.575 alpha=90.00 beta=90.00 gamma=90.00
Sites, in units of the cell vectors:
Ce 0.000 0.000 0.000
Tm 0.000 0.000 0.206
Tm 0.000 0.000 0.402
Tm 0.000 0.000 0.598
Tm 0.000 0.000 0.794
Ag 0.500 0.500 0.887
Ag 0.500 0.500 0.304
Ag 0.500 0.500 0.500
Ag 0.500 0.500 0.696
Ag 0.500 0.500 0.113

No. 5
Density functional theory data (PBE) for a relaxed CeTm3Ag2 crystal.

Its space group is P4/mmm, No. 123. The calculation puts the total energy at -4.358 eV per atom. For the density of states at the Fermi level, the calculation gives 7.59 states/eV/f.u. For the size of the total moment, the calculation gives 1.25 μB/cell. The calculation puts the formation energy at -0.183 eV per atom.

Unit cell a=3.560 b=3.560 c=12.074 alpha=90.00 beta=90.00 gamma=90.00
Sites, in units of the cell vectors:
Ce 0.500 0.500 0.500
Tm 0.000 0.000 0.000
Tm 0.000 0.000 0.701
Tm 0.000 0.000 0.299
Ag 0.500 0.500 0.849
Ag 0.500 0.500 0.151

No. 6
Density functional theory data (PBE) for a relaxed CeTmAg2 crystal.

Its space group is Fm-3m, No. 225. The calculation puts the total energy at -4.202 eV per atom. For the density of states at the Fermi level, the calculation gives 9.32 states/eV/f.u. For the size of the total moment, the calculation gives 0.94 μB/cell. The calculation puts the formation energy at -0.175 eV per atom.

Unit cell a=5.185 b=5.185 c=5.185 alpha=60.00 beta=60.00 gamma=60.00
Sites, in units of the cell vectors:
Tm 0.500 0.500 0.500
Ag 0.250 0.250 0.250
Ag 0.750 0.750 0.750
Ce 0.000 0.000 0.000